Record 1
Computed, not measured: LaTc2Br after structural relaxation at the PBE level of DFT.

Results
M_tot   0.0 Bohr magnetons per cell
Formation energy without anion corrections   1.74 eV/f.u.
Calculated volume   84 Å³/f.u.

Cell and atoms, written as extended XYZ:
```
4
Lattice="3.891 0.000 0.000 0.000 3.891 0.000 0.000 0.000 5.574" Properties=species:S:1:pos:R:3 pbc="T T T"
La 0.000 0.000 0.000
Tc 0.000 1.946 2.787
Tc 1.946 0.000 2.787
Br 1.946 1.946 0.000
```



Record 2
Computed, not measured: LaTc2Br after structural relaxation at the PBE level of DFT.

Results
M_tot   0.0 Bohr magnetons per cell
Formation energy without anion corrections   -0.31 eV/f.u.
Calculated volume   101 Å³/f.u.

Cell and atoms, written as extended XYZ:
```
4
Lattice="2.011 1.161 7.207 -2.011 1.161 7.207 0.000 -2.322 7.207" Properties=species:S:1:pos:R:3 pbc="T T T"
La 0.000 0.000 0.000
Tc 0.000 0.000 9.778
Tc 0.000 0.000 16.261
Br 0.000 0.000 5.019
```



Record 3
Computed, not measured: LaTcBr after structural relaxation at the PBE level of DFT.

Results
M_tot   0.0 Bohr magnetons per cell
Formation energy without anion corrections   0.37 eV/f.u.
Calculated volume   74 Å³/f.u.

Cell and atoms, written as extended XYZ:
```
3
Lattice="0.000 3.023 5.865 2.089 0.000 5.865 2.089 3.023 0.000" Properties=species:S:1:pos:R:3 pbc="T T T"
La 0.000 0.000 0.000
Tc 2.089 3.023 4.531
Br 2.089 3.023 8.384
```



Record 4
Computed, not measured: LaTcBr after structural relaxation at the PBE level of DFT.

Results
M_tot   0.0 Bohr magnetons per cell
Formation energy without anion corrections   0.65 eV/f.u.
Calculated volume   71 Å³/f.u.

Cell and atoms, written as extended XYZ:
```
3
Lattice="0.000 3.280 3.280 3.280 0.000 3.280 3.280 3.280 0.000" Properties=species:S:1:pos:R:3 pbc="T T T"
La 0.000 0.000 0.000
Tc 1.640 1.640 1.640
Br 3.280 3.280 3.280
```



Record 5
Computed, not measured: LaTc2Br after structural relaxation at the PBE level of DFT.

Results
M_tot   0.0 Bohr magnetons per cell
Formation energy without anion corrections   1.36 eV/f.u.
Calculated volume   84 Å³/f.u.

Cell and atoms, written as extended XYZ:
```
4
Lattice="3.459 0.000 0.000 0.000 5.297 0.000 -0.050 0.000 4.588" Properties=species:S:1:pos:R:3 pbc="T T T"
La 0.000 0.000 0.000
Tc 1.157 2.649 3.450
Tc 2.252 2.649 1.138
Br 1.705 0.000 2.294
```



Record 6
Computed, not measured: LaTc2Br after structural relaxation at the PBE level of DFT.

Results
M_tot   0.0 Bohr magnetons per cell
Formation energy without anion corrections   2.16 eV/f.u.
Calculated volume   79 Å³/f.u.

Cell and atoms, written as extended XYZ:
```
4
Lattice="-2.669 2.669 2.766 2.669 -2.669 2.766 2.669 2.669 -2.766" Properties=species:S:1:pos:R:3 pbc="T T T"
La 0.000 0.000 0.000
Tc 0.000 0.000 2.766
Tc 0.000 2.669 1.383
Br 2.669 0.000 1.383
```



Record 7
Computed, not measured: LaTc2Br after structural relaxation at the PBE level of DFT.

Results
M_tot   0.0 Bohr magnetons per cell
Formation energy without anion corrections   0.70 eV/f.u.
Calculated volume   94 Å³/f.u.

Cell and atoms, written as extended XYZ:
```
4
Lattice="5.768 -1.764 0.000 5.768 1.764 0.000 -1.925 0.000 4.638" Properties=species:S:1:pos:R:3 pbc="T T T"
La 0.000 0.000 0.000
Tc 1.047 0.000 3.886
Tc 8.564 0.000 0.752
Br 4.805 0.000 2.319
```



Record 8
Computed, not measured: LaTc2Br after structural relaxation at the PBE level of DFT.

Results
M_tot   0.0 Bohr magnetons per cell
Formation energy without anion corrections   1.82 eV/f.u.
Calculated volume   99 Å³/f.u.

Cell and atoms, written as extended XYZ:
```
4
Lattice="3.275 0.000 0.000 0.000 4.962 0.000 0.000 0.000 6.086" Properties=species:S:1:pos:R:3 pbc="T T T"
La 0.000 0.000 0.000
Tc 1.637 2.481 1.074
Tc 1.637 2.481 5.012
Br 0.000 0.000 3.043
```



Record 9
Computed, not measured: La4TcBr2 after structural relaxation at the PBE level of DFT.

Results
M_tot   0.0 Bohr magnetons per cell
Formation energy without anion corrections   -4.97 eV/f.u.
Calculated volume   216 Å³/f.u.

Cell and atoms, written as extended XYZ:
```
14
Lattice="1.924 -7.244 0.000 1.924 7.244 0.000 0.000 0.000 15.482" Properties=species:S:1:pos:R:3 pbc="T T T"
La 0.000 0.000 0.000
La 0.000 0.000 7.741
La 1.924 2.482 9.828
La 1.924 2.482 13.396
La 1.924 0.829 3.871
La 1.924 -0.829 11.612
La 1.924 -2.482 2.087
La 1.924 -2.482 5.654
Tc 1.924 6.021 3.871
Tc 1.924 -6.021 11.612
Br 1.924 2.243 1.089
Br 1.924 2.243 6.652
Br 1.924 -2.243 8.830
Br 1.924 -2.243 14.393
```



Record 10
Computed, not measured: La3TcBr after structural relaxation at the PBE level of DFT.

Results
M_tot   0.0 Bohr magnetons per cell
Formation energy without anion corrections   -2.25 eV/f.u.
Calculated volume   171 Å³/f.u.

Cell and atoms, written as extended XYZ:
```
10
Lattice="9.326 0.000 0.000 0.000 4.087 0.000 -3.088 0.000 8.957" Properties=species:S:1:pos:R:3 pbc="T T T"
La -0.352 1.022 1.899
La 1.417 3.065 4.859
La 2.840 3.065 1.151
La 3.397 1.022 7.806
La 4.821 1.022 4.098
La 6.590 3.065 7.058
Tc 1.912 1.022 2.878
Tc 4.325 3.065 6.079
Br 0.198 1.022 7.404
Br 6.040 3.065 1.553
```



Record 11
Computed, not measured: La9Tc2Br14 after structural relaxation at the PBE level of DFT.

Results
M_tot   2.0 Bohr magnetons per cell
Formation energy without anion corrections   -35.83 eV/f.u.
Calculated volume   849 Å³/f.u.

Cell and atoms, written as extended XYZ:
```
25
Lattice="8.901 0.000 0.000 -4.451 7.709 0.000 0.000 0.000 12.371" Properties=species:S:1:pos:R:3 pbc="T T T"
La 0.000 0.000 0.000
La -0.908 2.914 4.146
La -1.473 7.038 4.146
La 0.000 5.139 0.653
La 2.070 2.243 8.225
La 2.381 5.465 4.146
La 4.451 2.569 11.718
La 5.923 0.671 8.225
La 5.358 4.794 8.225
Tc 0.000 5.139 3.399
Tc 4.451 2.569 8.972
Br 0.000 0.000 3.132
Br 0.000 0.000 9.239
Br -2.614 5.295 11.246
Br -0.982 3.034 7.337
Br -1.332 7.042 7.337
Br 1.171 2.797 11.246
Br 3.008 0.384 1.125
Br 2.136 2.368 5.034
Br 2.314 5.341 7.337
Br 1.442 7.324 11.246
Br 3.279 4.911 1.125
Br 5.783 0.666 5.034
Br 5.433 4.675 5.034
Br 7.064 2.413 1.125
```



Record 12
Computed, not measured: La4TcBr3 after structural relaxation at the PBE level of DFT.

Results
M_tot   0.0 Bohr magnetons per cell
Formation energy without anion corrections   -7.98 eV/f.u.
Calculated volume   249 Å³/f.u.

Cell and atoms, written as extended XYZ:
```
16
Lattice="7.989 0.000 0.000 0.000 8.887 0.000 -2.465 0.000 7.026" Properties=species:S:1:pos:R:3 pbc="T T T"
La 0.538 1.421 3.277
La -0.694 7.466 6.790
La -0.769 3.502 7.024
La 0.463 5.385 3.511
La 5.060 3.502 3.515
La 6.293 5.385 0.002
La 6.218 1.421 0.236
La 4.985 7.466 3.749
Tc -0.616 3.298 1.756
Tc -1.849 5.589 5.269
Br -1.849 1.067 5.269
Br -0.616 7.820 1.756
Br 3.378 1.029 1.756
Br 2.146 3.248 5.269
Br 3.378 5.639 1.756
Br 2.146 7.858 5.269
```



Record 13
Computed, not measured: La5TcBr5 after structural relaxation at the PBE level of DFT.

Results
M_tot   0.0 Bohr magnetons per cell
Formation energy without anion corrections   -13.60 eV/f.u.
Calculated volume   346 Å³/f.u.

Cell and atoms, written as extended XYZ:
```
11
Lattice="6.659 -3.072 0.000 6.659 3.072 0.000 -3.087 0.000 8.461" Properties=species:S:1:pos:R:3 pbc="T T T"
La 0.000 0.000 0.000
La 3.999 0.000 1.129
La 2.533 0.000 6.029
La 7.697 0.000 2.432
La 6.231 0.000 7.331
Tc 6.659 0.000 0.000
Br -0.490 0.000 6.668
Br 1.169 0.000 3.004
Br 5.115 0.000 4.230
Br 9.061 0.000 5.456
Br 10.721 0.000 1.792
```



Record 14
Computed, not measured: LaTcBr after structural relaxation at the PBE level of DFT.

Results
M_tot   0.0 Bohr magnetons per cell
Formation energy without anion corrections   -2.81 eV/f.u.
Calculated volume   91 Å³/f.u.

Cell and atoms, written as extended XYZ:
```
6
Lattice="2.088 1.206 12.078 -2.088 1.206 12.078 0.000 -2.411 12.078" Properties=species:S:1:pos:R:3 pbc="T T T"
La 0.000 0.000 2.262
La 0.000 0.000 33.972
Tc 0.000 0.000 12.299
Tc 0.000 0.000 23.935
Br 0.000 0.000 7.860
Br 0.000 0.000 28.374
```



Record 15
Computed, not measured: LaTc2Br after structural relaxation at the PBE level of DFT.

Results
M_tot   0.0 Bohr magnetons per cell
Formation energy without anion corrections   3.60 eV/f.u.
Calculated volume   79 Å³/f.u.

Cell and atoms, written as extended XYZ:
```
4
Lattice="1.665 0.962 8.240 -1.665 0.962 8.240 0.000 -1.923 8.240" Properties=species:S:1:pos:R:3 pbc="T T T"
La 0.000 0.000 0.000
Tc 0.000 0.000 6.206
Tc 0.000 0.000 18.513
Br 0.000 0.000 12.359
```



Record 16
Computed, not measured: LaTc2Br after structural relaxation at the PBE level of DFT.

Results
M_tot   0.0 Bohr magnetons per cell
Formation energy without anion corrections   3.21 eV/f.u.
Calculated volume   78 Å³/f.u.

Cell and atoms, written as extended XYZ:
```
4
Lattice="1.623 -2.759 0.000 1.623 2.759 0.000 0.000 0.000 8.711" Properties=species:S:1:pos:R:3 pbc="T T T"
La 0.000 0.000 0.000
Tc 1.623 0.000 2.141
Tc 1.623 0.000 6.571
Br 0.000 0.000 4.356
```



Record 17
Computed, not measured: LaTc2Br after structural relaxation at the PBE level of DFT.

Results
M_tot   0.0 Bohr magnetons per cell
Formation energy without anion corrections   2.97 eV/f.u.
Calculated volume   88 Å³/f.u.

Cell and atoms, written as extended XYZ:
```
4
Lattice="3.924 0.000 0.000 0.000 3.924 0.000 0.000 0.000 5.737" Properties=species:S:1:pos:R:3 pbc="T T T"
La 0.000 0.000 0.000
Tc 1.962 1.962 1.766
Tc 1.962 1.962 3.971
Br 0.000 0.000 2.869
```



Record 18
Computed, not measured: LaTcBr3 after structural relaxation at the PBE level of DFT.

Results
M_tot   0.0 Bohr magnetons per cell
Formation energy without anion corrections   -1.26 eV/f.u.
Calculated volume   128 Å³/f.u.

Cell and atoms, written as extended XYZ:
```
5
Lattice="5.037 0.000 0.000 0.000 5.037 0.000 0.000 0.000 5.037" Properties=species:S:1:pos:R:3 pbc="T T T"
La 0.000 0.000 0.000
Tc 2.518 2.518 2.518
Br 0.000 2.518 2.518
Br 2.518 0.000 2.518
Br 2.518 2.518 0.000
```



Record 19
Computed, not measured: LaTcBr after structural relaxation at the PBE level of DFT.

Results
M_tot   2.0 Bohr magnetons per cell
Formation energy without anion corrections   0.82 eV/f.u.
Calculated volume   79 Å³/f.u.

Cell and atoms, written as extended XYZ:
```
3
Lattice="3.662 0.000 0.000 -1.831 3.171 0.000 0.000 0.000 6.779" Properties=species:S:1:pos:R:3 pbc="T T T"
La 0.000 0.000 0.000
Tc 1.831 1.057 2.116
Br 0.000 2.114 4.378
```



Record 20
Computed, not measured: La5Tc2Br2 after structural relaxation at the PBE level of DFT.

Results
M_tot   0.0 Bohr magnetons per cell
Formation energy without anion corrections   -5.15 eV/f.u.
Calculated volume   267 Å³/f.u.

Cell and atoms, written as extended XYZ:
```
18
Lattice="8.094 -4.255 0.000 8.094 4.255 0.000 0.000 0.000 7.755" Properties=species:S:1:pos:R:3 pbc="T T T"
La 0.000 0.000 0.000
La 6.277 2.848 4.978
La 6.277 1.407 1.101
La 9.911 2.848 4.978
La 9.911 1.407 1.101
La 8.094 0.000 3.877
La 6.277 -1.407 6.654
La 6.277 -2.848 2.777
La 9.911 -1.407 6.654
La 9.911 -2.848 2.777
Tc 8.094 3.070 2.824
Tc 8.094 1.185 6.701
Tc 8.094 -1.185 1.053
Tc 8.094 -3.070 4.931
Br 3.303 0.000 0.000
Br 4.791 0.000 3.877
Br 11.397 0.000 3.877
Br 12.885 0.000 0.000
```



Record 21
Computed, not measured: La3TcBr after structural relaxation at the PBE level of DFT.

Results
M_tot   1.7 Bohr magnetons per cell
Formation energy without anion corrections   -1.14 eV/f.u.
Calculated volume   171 Å³/f.u.

Cell and atoms, written as extended XYZ:
```
5
Lattice="5.548 0.000 0.000 0.000 5.548 0.000 0.000 0.000 5.548" Properties=species:S:1:pos:R:3 pbc="T T T"
La 0.000 0.000 2.774
La 0.000 2.774 0.000
La 2.774 0.000 0.000
Tc 0.000 0.000 0.000
Br 2.774 2.774 2.774
```



Record 22
Computed, not measured: LaTc2Br after structural relaxation at the PBE level of DFT.

Results
M_tot   0.0 Bohr magnetons per cell
Formation energy without anion corrections   1.00 eV/f.u.
Calculated volume   93 Å³/f.u.

Cell and atoms, written as extended XYZ:
```
4
Lattice="-1.849 2.775 4.532 1.849 -2.775 4.532 1.849 2.775 -4.532" Properties=species:S:1:pos:R:3 pbc="T T T"
La 0.000 0.000 0.000
Tc 0.000 0.000 4.598
Tc 0.000 2.775 1.513
Br 1.849 0.000 2.547
```



Record 23
Computed, not measured: LaTc2Br after structural relaxation at the PBE level of DFT.

Results
M_tot   1.7 Bohr magnetons per cell
Formation energy without anion corrections   3.59 eV/f.u.
Calculated volume   78 Å³/f.u.

Cell and atoms, written as extended XYZ:
```
4
Lattice="3.186 0.000 0.000 0.000 3.186 0.000 0.000 0.000 7.717" Properties=species:S:1:pos:R:3 pbc="T T T"
La 0.000 0.000 0.000
Tc 1.593 1.593 2.296
Tc 1.593 1.593 5.421
Br 0.000 0.000 3.859
```



Record 24
Computed, not measured: La3TcBr2 after structural relaxation at the PBE level of DFT.

Results
M_tot   0.0 Bohr magnetons per cell
Formation energy without anion corrections   -5.56 eV/f.u.
Calculated volume   189 Å³/f.u.

Cell and atoms, written as extended XYZ:
```
12
Lattice="3.791 -6.416 0.000 3.791 6.416 0.000 -2.853 0.000 7.760" Properties=species:S:1:pos:R:3 pbc="T T T"
La -0.271 2.433 6.173
La 0.880 0.000 1.572
La -0.271 -2.433 6.173
La 5.001 2.433 1.587
La 3.849 0.000 6.188
La 5.001 -2.433 1.587
Tc 3.791 4.174 0.000
Tc 3.791 -4.174 0.000
Br -1.427 0.000 3.880
Br 2.365 2.019 3.880
Br 3.791 0.000 0.000
Br 2.365 -2.019 3.880
```



Record 25
Computed, not measured: LaTc2Br after structural relaxation at the PBE level of DFT.

Results
M_tot   0.0 Bohr magnetons per cell
Formation energy without anion corrections   3.53 eV/f.u.
Calculated volume   76 Å³/f.u.

Cell and atoms, written as extended XYZ:
```
4
Lattice="0.000 3.359 3.359 3.359 0.000 3.359 3.359 3.359 0.000" Properties=species:S:1:pos:R:3 pbc="T T T"
La 0.000 0.000 0.000
Tc 1.680 1.680 1.680
Tc 5.039 5.039 5.039
Br 3.359 3.359 3.359
```



Record 26
Computed, not measured: LaTc2Br after structural relaxation at the PBE level of DFT.

Results
M_tot   0.0 Bohr magnetons per cell
Formation energy without anion corrections   2.50 eV/f.u.
Calculated volume   80 Å³/f.u.

Cell and atoms, written as extended XYZ:
```
4
Lattice="0.000 3.416 3.416 3.416 0.000 3.416 3.416 3.416 0.000" Properties=species:S:1:pos:R:3 pbc="T T T"
La 0.000 0.000 0.000
Tc 1.708 1.708 1.708
Tc 3.416 3.416 3.416
Br 5.124 5.124 5.124
```